[1]
{"formula": "SiAs2", "functional": "PBEsol", "state": "optimized geometry", "lattice": [[5.837, -1.830, 0.000], [5.837, 1.830, 0.000], [-2.663, 0.000, 6.295]], "species": ["Si", "Si", "As", "As", "As", "As"], "frac_coords": [[0.192, 0.192, 0.112], [0.808, 0.808, 0.888], [0.169, 0.169, 0.444], [0.403, 0.403, 0.123], [0.597, 0.597, 0.877], [0.831, 0.831, 0.556]], "sg": "No. 12", "magmom_total_mub_per_atom": 0.0000, "e_above_lowest_polymorph_mev_per_atom": 77.4, "dft_energy_ev_per_atom": -5.30}

***

[2]
{"formula": "SiAs2", "functional": "PBEsol", "state": "optimized geometry", "lattice": [[10.001, 0.000, 0.000], [0.000, 14.612, 0.000], [0.000, 0.000, 3.672]], "species": ["Si", "Si", "Si", "Si", "Si", "Si", "Si", "Si", "As", "As", "As", "As", "As", "As", "As", "As", "As", "As", "As", "As", "As", "As", "As", "As"], "frac_coords": [[0.077, 0.142, 0.000], [0.208, 0.767, 0.500], [0.292, 0.267, 0.500], [0.423, 0.642, 0.000], [0.577, 0.358, 0.000], [0.708, 0.733, 0.500], [0.792, 0.233, 0.500], [0.923, 0.858, 0.000], [0.064, 0.898, 0.500], [0.107, 0.615, 0.500], [0.144, 0.298, 0.000], [0.236, 0.540, 0.000], [0.264, 0.040, 0.000], [0.356, 0.798, 0.000], [0.393, 0.115, 0.500], [0.436, 0.398, 0.500], [0.564, 0.602, 0.500], [0.607, 0.885, 0.500], [0.644, 0.202, 0.000], [0.736, 0.960, 0.000], [0.764, 0.460, 0.000], [0.856, 0.702, 0.000], [0.893, 0.385, 0.500], [0.936, 0.102, 0.500]], "sg": "No. 55", "magmom_total_mub_per_atom": 0.0000, "e_above_lowest_polymorph_mev_per_atom": 0.0, "dft_energy_ev_per_atom": -5.37}

***

[3]
{"formula": "Si3As", "functional": "PBEsol", "state": "optimized geometry", "lattice": [[-2.241, 2.241, 3.083], [2.241, -2.241, 3.083], [2.241, 2.241, -3.083]], "species": ["Si", "Si", "Si", "As"], "frac_coords": [[0.000, 0.000, 0.000], [0.250, 0.750, 0.500], [0.750, 0.250, 0.500], [0.500, 0.500, 0.000]], "sg": "No. 139", "magmom_total_mub_per_atom": 0.0000, "e_above_lowest_polymorph_mev_per_atom": 5.7, "dft_energy_ev_per_atom": -5.15}

***

[4]
{"formula": "SiAs", "functional": "PBEsol", "state": "optimized geometry", "lattice": [[7.968, -1.837, 0.000], [7.968, 1.837, 0.000], [-2.601, 0.000, 9.149]], "species": ["Si", "Si", "Si", "Si", "Si", "Si", "As", "As", "As", "As", "As", "As"], "frac_coords": [[0.067, 0.067, 0.090], [0.261, 0.261, 0.708], [0.368, 0.368, 0.583], [0.632, 0.632, 0.417], [0.739, 0.739, 0.292], [0.933, 0.933, 0.910], [0.036, 0.036, 0.325], [0.338, 0.338, 0.323], [0.347, 0.347, 0.956], [0.653, 0.653, 0.044], [0.662, 0.662, 0.677], [0.964, 0.964, 0.675]], "sg": "No. 12", "magmom_total_mub_per_atom": 0.0000, "dft_energy_ev_per_atom": -5.49}

***

Results for E_form (uncorrected): 0.023; -0.054; 0.441; -0.066 (in eV per atom, following the order of the records).